VASP calculation (PBE) on a relaxed LaMgSi crystal.

a b c (Å): 11.304 6.244 4.277
angles (deg): 90.00 90.00 90.00
Element x y z (fractional)
Mg1 0.500 0.263 0.500
Mg2 0.000 0.237 0.000
Mg3 0.000 0.763 0.000
Mg4 0.500 0.737 0.500
Si1 0.889 0.000 0.500
Si2 0.111 0.000 0.500
Si3 0.611 0.500 0.000
Si4 0.389 0.500 0.000
La1 0.299 0.000 0.000
La2 0.799 0.500 0.500
La3 0.701 0.000 0.000
La4 0.201 0.500 0.500

Output
* space group: Immm, No. 71

---

VASP calculation (PBE) on a relaxed LaMgSi2 crystal.

a b c (Å): 9.366 9.366 9.366
angles (deg): 20.47 20.47 20.47
Element x y z (fractional)
Si1 0.492 0.492 0.492
Si2 0.008 0.008 0.008
La1 0.250 0.250 0.250
Mg1 0.750 0.750 0.750

Output
* space group: R-3m, No. 166

---

VASP calculation (PBE) on a relaxed LaMgSi2 crystal.

a b c (Å): 4.964 4.964 4.964
angles (deg): 60.00 60.00 60.00
Element x y z (fractional)
La1 0.500 0.500 0.500
Mg1 0.250 0.250 0.250
Si1 0.750 0.750 0.750
Si2 0.000 0.000 0.000

Output
* space group: F-43m, No. 216

---

VASP calculation (PBE) on a relaxed LaMgSi2 crystal.

a b c (Å): 3.897 4.339 5.731
angles (deg): 67.75 90.00 90.00
Element x y z (fractional)
Si1 0.000 0.201 0.975
Si2 0.500 0.057 0.260
Mg1 0.500 0.761 0.852
La1 0.000 0.481 0.412

Output
* space group: Amm2, No. 38

---

VASP calculation (PBE) on a relaxed LaMgSi2 crystal.

a b c (Å): 6.149 6.149 6.149
angles (deg): 144.00 138.58 56.02
Element x y z (fractional)
Si1 0.930 0.930 0.000
Si2 0.781 0.281 0.500
Mg1 0.264 0.764 0.500
La1 0.526 0.526 0.000

Output
* space group: Imm2, No. 44

---

VASP calculation (PBE) on a relaxed La6Mg23Si crystal.

a b c (Å): 10.362 10.362 10.362
angles (deg): 60.00 60.00 60.00
Element x y z (fractional)
La1 0.295 0.295 0.705
La2 0.705 0.705 0.295
La3 0.295 0.705 0.295
La4 0.705 0.295 0.295
La5 0.295 0.705 0.705
La6 0.705 0.295 0.705
Mg1 0.000 0.500 0.500
Mg2 0.634 0.122 0.122
Mg3 0.329 0.329 0.329
Mg4 0.329 0.329 0.014
Mg5 0.122 0.122 0.634
Mg6 0.000 0.500 0.000
Mg7 0.500 0.000 0.500
Mg8 0.671 0.671 0.671
Mg9 0.671 0.671 0.986
Mg10 0.122 0.634 0.122
Mg11 0.878 0.366 0.878
Mg12 0.986 0.671 0.671
Mg13 0.500 0.500 0.000
Mg14 0.014 0.329 0.329
Mg15 0.000 0.000 0.000
Mg16 0.366 0.878 0.878
Mg17 0.671 0.986 0.671
Mg18 0.329 0.014 0.329
Mg19 0.122 0.122 0.122
Mg20 0.878 0.878 0.366
Mg21 0.878 0.878 0.878
Mg22 0.500 0.000 0.000
Mg23 0.000 0.000 0.500
Si1 0.500 0.500 0.500

Output
* space group: Fm-3m, No. 225

---

VASP calculation (PBE) on a relaxed LaMgSi crystal.

a b c (Å): 4.487 4.487 4.337
angles (deg): 90.00 90.00 120.00
Element x y z (fractional)
Mg1 0.667 0.333 0.000
Si1 0.333 0.667 0.000
La1 0.000 0.000 0.500

Output
* space group: P-6m2, No. 187

---

VASP calculation (PBE) on a relaxed La2MgSi crystal.

a b c (Å): 4.924 4.153 5.206
angles (deg): 90.02 90.00 90.00
Element x y z (fractional)
Mg1 0.000 0.625 0.445
La1 0.000 0.126 0.915
La2 0.500 0.125 0.329
Si1 0.500 0.625 0.812

Output
* space group: Pmm2, No. 25

---

VASP calculation (PBE) on a relaxed La2MgSi crystal.

a b c (Å): 3.471 3.471 9.210
angles (deg): 90.00 90.00 89.98
Element x y z (fractional)
La1 0.000 0.000 0.935
La2 0.500 0.500 0.290
Si1 0.500 0.500 0.716
Mg1 0.000 0.000 0.559

Output
* space group: P4mm, No. 99

---

VASP calculation (PBE) on a relaxed La2MgSi crystal.

a b c (Å): 4.172 4.174 6.495
angles (deg): 90.00 90.00 90.00
Element x y z (fractional)
Mg1 0.000 0.000 0.505
Si1 0.500 0.500 0.763
La1 0.500 0.500 0.269
La2 0.000 0.000 0.963

Output
* space group: P4mm, No. 99

---

VASP calculation (PBE) on a relaxed LaMgSi crystal.

a b c (Å): 7.502 4.393 11.170
angles (deg): 90.00 126.57 90.00
Element x y z (fractional)
La1 0.175 0.000 0.429
La2 0.825 0.500 0.071
La3 0.175 0.500 0.929
La4 0.825 0.000 0.571
Mg1 0.417 0.000 0.815
Mg2 0.417 0.500 0.315
Mg3 0.583 0.000 0.185
Mg4 0.583 0.500 0.685
Si1 0.172 0.000 0.140
Si2 0.828 0.500 0.360
Si3 0.828 0.000 0.860
Si4 0.172 0.500 0.640

Output
* space group: C2/m, No. 12

---

VASP calculation (PBE) on a relaxed La2MgSi crystal.

a b c (Å): 8.616 8.616 6.967
angles (deg): 51.81 51.81 90.00
Element x y z (fractional)
La1 0.669 0.125 0.250
La2 0.875 0.919 0.750
La3 0.081 0.625 0.250
La4 0.375 0.331 0.750
Si1 0.000 0.000 0.000
Si2 0.750 0.250 0.500
Mg1 0.250 0.750 0.500
Mg2 0.500 0.500 0.000

Output
* space group: I-42d, No. 122

---

Number 1: volume 75.5 Å³/f.u., DFT total energy -13.21 eV per formula unit. Number 2: volume 88.0 Å³/f.u., DFT total energy -17.06 eV per formula unit. Number 3: volume 86.5 Å³/f.u., DFT total energy -17.04 eV per formula unit. Number 4: volume 89.7 Å³/f.u., DFT total energy -19.00 eV per formula unit. Number 5: volume 89.7 Å³/f.u., DFT total energy -18.66 eV per formula unit. Number 6: volume 786.6 Å³/f.u., DFT total energy -76.50 eV per formula unit. Number 7: volume 75.6 Å³/f.u., DFT total energy -13.27 eV per formula unit. Number 8: volume 106.5 Å³/f.u., DFT total energy -18.21 eV per formula unit. Number 9: volume 111.0 Å³/f.u., DFT total energy -17.29 eV per formula unit. Number 10: volume 113.1 Å³/f.u., DFT total energy -17.08 eV per formula unit. Number 11: volume 73.9 Å³/f.u., DFT total energy -13.46 eV per formula unit. Number 12: volume 125.5 Å³/f.u., DFT total energy -17.06 eV per formula unit.